Y2MnZnOs, relaxed, DFT PBE; symmetry = No. 123; E_tot = -0.476 Ry per atom; formation energy from the elements = 0.44 eV/atom; D(E_F) = 3.45 states/eV/f.u.; M_tot = 4.4 μB/f.u.
1.0
5.2924 0.0000 0.0000
0.0000 5.2924 0.0000
0.0000 0.0000 4.8895
Mn Y Zn Os
1 2 1 1
Direct
0.5000 0.5000 0.5000 Mn
0.5000 0.0000 0.0000 Y
0.0000 0.5000 0.0000 Y
0.0000 0.0000 0.5000 Zn
0.0000 0.0000 0.0000 Os